No. 1
First-principles (PBE) data for a relaxed structure of YGaAs2Br, as listed in the Alexandria database.

Unit cell a=5.498 b=5.498 c=5.624 alpha=90.00 beta=90.00 gamma=90.00
Positions (direct):
As 0.500 0.000 0.000
As 0.000 0.500 0.000
Y 0.000 0.000 0.000
Br 0.000 0.000 0.500
Ga 0.500 0.500 0.500

Computed properties:
The calculation puts the density of states at the Fermi level at 4.49 states/eV/f.u. As for the space group: P4/mmm (123). For the energy above the most stable polymorph in this dataset, the calculation gives 65 meV/atom.

=====

No. 2
First-principles (PBE) data for a relaxed structure of GeAsBr3, as listed in the Alexandria database.

Unit cell a=5.396 b=5.396 c=5.396 alpha=90.00 beta=90.00 gamma=90.00
Positions (direct):
Br 0.500 0.000 0.000
Ge 0.000 0.000 0.000
Br 0.000 0.000 0.500
Br 0.000 0.500 0.000
As 0.500 0.500 0.500

Computed properties:
The calculation puts the density of states at the Fermi level at 6.49 states/eV/f.u. As for the space group: Pm-3m (221). For the energy above the most stable polymorph in this dataset, the calculation gives 0 meV/atom.

=====

No. 3
First-principles (PBE) data for a relaxed structure of GeAs2Br6, as listed in the Alexandria database.

Unit cell a=6.978 b=11.070 c=11.070 alpha=81.40 beta=89.42 gamma=89.42
Positions (direct):
Br 0.097 0.850 0.963
Br 0.359 0.464 0.305
As 0.873 0.825 0.550
Br 0.105 0.040 0.633
Br 0.605 0.633 0.040
Br 0.403 0.037 0.150
Br 0.641 0.536 0.695
As 0.127 0.175 0.450
Br 0.141 0.695 0.536
Br 0.597 0.963 0.850
Br 0.859 0.305 0.464
As 0.627 0.450 0.175
Ge 0.250 0.059 0.941
Br 0.395 0.367 0.960
Br 0.895 0.960 0.367
As 0.373 0.550 0.825
Br 0.903 0.150 0.037
Ge 0.750 0.941 0.059

Computed properties:
As for the space group: C2/c (15).

=====

No. 4
First-principles (PBE) data for a relaxed structure of Ge2AsBr, as listed in the Alexandria database.

Unit cell a=4.148 b=4.148 c=8.223 alpha=75.39 beta=75.39 gamma=60.00
Positions (direct):
Br 0.000 0.000 0.000
Ge 0.112 0.112 0.664
Ge 0.888 0.888 0.336
As 0.500 0.500 0.500

Computed properties:
The calculation puts the density of states at the Fermi level at 0.60 states/eV/f.u. As for the space group: R-3m (166). For the energy above the most stable polymorph in this dataset, the calculation gives 0 meV/atom.

=====

No. 5
First-principles (PBE) data for a relaxed structure of Ge2AsBr, as listed in the Alexandria database.

Unit cell a=4.954 b=4.954 c=4.954 alpha=60.00 beta=60.00 gamma=60.00
Positions (direct):
As 0.000 0.000 0.000
Ge 0.750 0.750 0.750
Br 0.500 0.500 0.500
Ge 0.250 0.250 0.250

Computed properties:
The calculation puts the density of states at the Fermi level at 1.42 states/eV/f.u. As for the space group: Fm-3m (225). For the energy above the most stable polymorph in this dataset, the calculation gives 231 meV/atom.

=====

No. 6
First-principles (PBE) data for a relaxed structure of GeAs2Br8, as listed in the Alexandria database.

Unit cell a=8.289 b=7.926 c=7.926 alpha=77.04 beta=86.70 gamma=86.70
Positions (direct):
Br 0.166 0.037 0.664
Br 0.285 0.097 0.097
Br 0.715 0.903 0.903
Ge 0.000 0.000 0.000
Br 0.834 0.336 0.963
Br 0.442 0.659 0.659
Br 0.834 0.963 0.336
As 0.632 0.152 0.152
Br 0.166 0.664 0.037
As 0.368 0.848 0.848
Br 0.558 0.341 0.341

Computed properties:
The calculation puts the density of states at the Fermi level at 0.00 states/eV/f.u. As for the space group: C2/m (12).

=====

So what do the calculations give for energy relative to the elements, uncorrected? Going down the list: -0.097 0.215 -0.280 0.040 0.270 -0.405 eV/atom.
So what do the calculations give for M_tot? Going down the list: 0.8 2.2 0.0 0.0 0.0 0.0 μB/f.u..